# YFe2Rh

A PBEsol-optimized structure of YFe2Rh (SCAN, Alexandria via LeMat-Bulk).

For the formation energy from the elements, the calculation gives 0.01 eV per atom.

Unit cell a=2.884 b=4.175 c=5.366 alpha=90.00 beta=104.31 gamma=90.00
Positions (direct):
Y1 0.000 0.000 0.000
Fe1 0.432 0.500 0.704
Fe2 0.568 0.500 0.296
Rh1 0.000 0.000 0.500

# SrTaTe2I

A PBEsol-optimized structure of SrTaTe2I (SCAN, Alexandria via LeMat-Bulk).

The raw formation energy is -0.403 eV/atom.

Unit cell a=5.424 b=5.424 c=5.539 alpha=90.00 beta=90.00 gamma=90.00
Positions (direct):
Sr1 0.000 0.000 0.000
Ta1 0.500 0.500 0.500
Te1 0.000 0.500 0.500
Te2 0.500 0.000 0.500
I1 0.500 0.500 0.000

# CaNiBr

A PBEsol-optimized structure of CaNiBr (SCAN, Alexandria via LeMat-Bulk).

The raw formation energy is -0.155 eV/atom.

Unit cell a=4.752 b=4.752 c=4.752 alpha=60.00 beta=60.00 gamma=60.00
Positions (direct):
Ca1 0.000 0.000 0.000
Ni1 0.750 0.750 0.750
Br1 0.250 0.250 0.250

# Nb6PdPt

A PBEsol-optimized structure of Nb6PdPt (SCAN, Alexandria via LeMat-Bulk).

For the formation energy from the elements, the calculation gives -0.38 eV per atom.

Unit cell a=5.146 b=5.146 c=5.146 alpha=90.00 beta=90.00 gamma=90.00
Positions (direct):
Nb1 0.000 0.251 0.500
Nb2 0.000 0.749 0.500
Nb3 0.251 0.500 0.000
Nb4 0.500 0.000 0.251
Nb5 0.500 0.000 0.749
Nb6 0.749 0.500 0.000
Pd1 0.000 0.000 0.000
Pt1 0.500 0.500 0.500

# CuNiAu3

A PBEsol-optimized structure of CuNiAu3 (SCAN, Alexandria via LeMat-Bulk).

For the formation energy from the elements, the calculation gives 0.96 eV per atom.

Unit cell a=4.601 b=4.601 c=4.601 alpha=90.00 beta=90.00 gamma=90.00
Positions (direct):
Cu1 0.000 0.000 0.000
Ni1 0.500 0.500 0.500
Au1 0.000 0.000 0.500
Au2 0.000 0.500 0.000
Au3 0.500 0.000 0.000

# Nd2Co17

A PBEsol-optimized structure of Nd2Co17 (SCAN, Alexandria via LeMat-Bulk).

For the formation energy from the elements, the calculation gives 0.01 eV per atom.

Unit cell a=6.207 b=6.207 c=6.207 alpha=83.14 beta=83.14 gamma=83.14
Positions (direct):
Nd1 0.155 0.155 0.155
Nd2 0.845 0.845 0.845
Co1 0.000 0.500 0.500
Co2 0.157 0.157 0.648
Co3 0.157 0.648 0.157
Co4 0.215 0.500 0.785
Co5 0.215 0.785 0.500
Co6 0.352 0.843 0.843
Co7 0.404 0.404 0.404
Co8 0.500 0.000 0.500
Co9 0.500 0.215 0.785
Co10 0.500 0.500 0.000
Co11 0.500 0.785 0.215
Co12 0.596 0.596 0.596
Co13 0.648 0.157 0.157
Co14 0.785 0.215 0.500
Co15 0.785 0.500 0.215
Co16 0.843 0.352 0.843
Co17 0.843 0.843 0.352

# In2FeTc

A PBEsol-optimized structure of In2FeTc (SCAN, Alexandria via LeMat-Bulk).

For the formation energy from the elements, the calculation gives 0.35 eV per atom.

Unit cell a=3.243 b=3.243 c=6.102 alpha=90.00 beta=90.00 gamma=90.00
Positions (direct):
In1 0.000 0.000 0.245
In2 0.000 0.000 0.755
Fe1 0.500 0.500 0.000
Tc1 0.500 0.500 0.500

# MgTlPt2

A PBEsol-optimized structure of MgTlPt2 (SCAN, Alexandria via LeMat-Bulk).

For the formation energy from the elements, the calculation gives -0.26 eV per atom.

Unit cell a=4.741 b=4.741 c=5.216 alpha=100.14 beta=100.14 gamma=36.91
Positions (direct):
Mg1 0.000 0.000 0.000
Tl1 0.500 0.500 0.500
Pt1 0.258 0.258 0.769
Pt2 0.742 0.742 0.231

# HfBe3S

A PBEsol-optimized structure of HfBe3S (SCAN, Alexandria via LeMat-Bulk).

The raw formation energy is 0.625 eV/atom.

Unit cell a=4.066 b=4.066 c=4.066 alpha=90.00 beta=90.00 gamma=90.00
Positions (direct):
Hf1 0.000 0.000 0.000
Be1 0.000 0.500 0.500
Be2 0.500 0.000 0.500
Be3 0.500 0.500 0.000
S1 0.500 0.500 0.500

# Li2SnPb

A PBEsol-optimized structure of Li2SnPb (SCAN, Alexandria via LeMat-Bulk).

For the formation energy from the elements, the calculation gives -0.38 eV per atom.

Unit cell a=4.889 b=4.889 c=4.889 alpha=60.00 beta=60.00 gamma=60.00
Positions (direct):
Li1 0.250 0.250 0.250
Li2 0.750 0.750 0.750
Sn1 0.000 0.000 0.000
Pb1 0.500 0.500 0.500

# Ni2PtRh

A PBEsol-optimized structure of Ni2PtRh (SCAN, Alexandria via LeMat-Bulk).

For the formation energy from the elements, the calculation gives -0.02 eV per atom.

Unit cell a=2.661 b=2.661 c=7.023 alpha=90.00 beta=90.00 gamma=90.00
Positions (direct):
Ni1 0.000 0.000 0.000
Ni2 0.500 0.500 0.221
Pt1 0.000 0.000 0.477
Rh1 0.500 0.500 0.759

# Sr2HgP

A PBEsol-optimized structure of Sr2HgP (SCAN, Alexandria via LeMat-Bulk).

For the formation energy from the elements, the calculation gives -0.91 eV per atom.

Unit cell a=3.822 b=3.822 c=7.367 alpha=90.00 beta=90.00 gamma=90.00
Positions (direct):
Sr1 0.000 0.000 0.215
Sr2 0.000 0.000 0.785
Hg1 0.500 0.500 0.500
P1 0.500 0.500 0.000

# GePbAu3

A PBEsol-optimized structure of GePbAu3 (SCAN, Alexandria via LeMat-Bulk).

For the formation energy from the elements, the calculation gives 0.92 eV per atom.

Unit cell a=5.166 b=5.166 c=5.166 alpha=90.00 beta=90.00 gamma=90.00
Positions (direct):
Ge1 0.000 0.000 0.000
Pb1 0.500 0.500 0.500
Au1 0.000 0.500 0.500
Au2 0.500 0.000 0.500
Au3 0.500 0.500 0.000

# ZnRe2Ir

A PBEsol-optimized structure of ZnRe2Ir (SCAN, Alexandria via LeMat-Bulk).

For the formation energy from the elements, the calculation gives 0.25 eV per atom.

Unit cell a=3.689 b=3.689 c=4.177 alpha=90.00 beta=90.00 gamma=90.00
Positions (direct):
Zn1 0.000 0.000 0.000
Re1 0.000 0.500 0.500
Re2 0.500 0.000 0.500
Ir1 0.500 0.500 0.000

# NaSe2S2

A PBEsol-optimized structure of NaSe2S2 (SCAN, Alexandria via LeMat-Bulk).

The raw formation energy is -0.171 eV/atom.

Unit cell a=7.830 b=7.830 c=3.928 alpha=90.00 beta=90.00 gamma=90.00
Positions (direct):
Na1 0.000 0.000 0.000
Na2 0.500 0.500 0.000
Se1 0.164 0.336 0.000
Se2 0.336 0.836 0.000
Se3 0.664 0.164 0.000
Se4 0.836 0.664 0.000
S1 0.225 0.725 0.500
S2 0.275 0.225 0.500
S3 0.725 0.775 0.500
S4 0.775 0.275 0.500

# MnCrCl2

A PBEsol-optimized structure of MnCrCl2 (SCAN, Alexandria via LeMat-Bulk).

The raw formation energy is -0.249 eV/atom.

Unit cell a=4.546 b=4.546 c=3.175 alpha=90.00 beta=90.00 gamma=90.00
Positions (direct):
Mn1 0.000 0.000 0.000
Cr1 0.500 0.500 0.000
Cl1 0.000 0.500 0.500
Cl2 0.500 0.000 0.500

# LaBi3Os

A PBEsol-optimized structure of LaBi3Os (SCAN, Alexandria via LeMat-Bulk).

For the formation energy from the elements, the calculation gives 0.32 eV per atom.

Unit cell a=5.315 b=5.315 c=5.315 alpha=90.00 beta=90.00 gamma=90.00
Positions (direct):
La1 0.000 0.000 0.000
Bi1 0.000 0.500 0.500
Bi2 0.500 0.000 0.500
Bi3 0.500 0.500 0.000
Os1 0.500 0.500 0.500

# NbAg2Ru

A PBEsol-optimized structure of NbAg2Ru (SCAN, Alexandria via LeMat-Bulk).

For the formation energy from the elements, the calculation gives 0.65 eV per atom.

Unit cell a=4.486 b=4.486 c=4.486 alpha=60.00 beta=60.00 gamma=60.00
Positions (direct):
Nb1 0.000 0.000 0.000
Ag1 0.250 0.250 0.250
Ag2 0.750 0.750 0.750
Ru1 0.500 0.500 0.500

# KNbAg2N

A PBEsol-optimized structure of KNbAg2N (SCAN, Alexandria via LeMat-Bulk).

The raw formation energy is 0.420 eV/atom.

Unit cell a=5.396 b=5.396 c=3.995 alpha=90.00 beta=90.00 gamma=90.00
Positions (direct):
K1 0.000 0.000 0.000
Nb1 0.500 0.500 0.500
Ag1 0.000 0.500 0.500
Ag2 0.500 0.000 0.500
N1 0.500 0.500 0.000

# NaTlBi3

A PBEsol-optimized structure of NaTlBi3 (SCAN, Alexandria via LeMat-Bulk).

For the formation energy from the elements, the calculation gives 0.54 eV per atom.

Unit cell a=5.831 b=5.831 c=5.831 alpha=90.00 beta=90.00 gamma=90.00
Positions (direct):
Na1 0.000 0.000 0.000
Tl1 0.500 0.500 0.500
Bi1 0.000 0.500 0.500
Bi2 0.500 0.000 0.500
Bi3 0.500 0.500 0.000

# BaNb3Au

A PBEsol-optimized structure of BaNb3Au (SCAN, Alexandria via LeMat-Bulk).

For the formation energy from the elements, the calculation gives 1.18 eV per atom.

Unit cell a=5.091 b=5.091 c=5.091 alpha=90.00 beta=90.00 gamma=90.00
Positions (direct):
Ba1 0.000 0.000 0.000
Nb1 0.000 0.500 0.500
Nb2 0.500 0.000 0.500
Nb3 0.500 0.500 0.000
Au1 0.500 0.500 0.500

# Li4Ni3Sn2Sb3O16

A PBEsol-optimized structure of Li4Ni3Sn2Sb3O16 (SCAN, Alexandria via LeMat-Bulk).

The raw formation energy is -1.689 eV/atom.

Unit cell a=6.090 b=6.090 c=9.695 alpha=90.37 beta=90.37 gamma=60.30
Positions (direct):
Li1 0.000 0.000 0.000
Li2 0.058 0.058 0.533
Li3 0.396 0.396 0.437
Li4 0.729 0.729 0.910
Ni1 0.241 0.732 0.743
Ni2 0.732 0.241 0.743
Ni3 0.899 0.899 0.248
Sn1 0.416 0.416 0.009
Sn2 0.745 0.745 0.533
Sb1 0.240 0.240 0.745
Sb2 0.406 0.903 0.242
Sb3 0.903 0.406 0.242
O1 0.029 0.580 0.371
O2 0.072 0.072 0.344
O3 0.075 0.075 0.837
O4 0.101 0.550 0.873
O5 0.231 0.750 0.131
O6 0.239 0.239 0.134
O7 0.391 0.915 0.626
O8 0.397 0.397 0.637
O9 0.550 0.101 0.873
O10 0.554 0.554 0.866
O11 0.580 0.029 0.371
O12 0.583 0.583 0.366
O13 0.732 0.732 0.130
O14 0.750 0.231 0.131
O15 0.910 0.910 0.631
O16 0.915 0.391 0.626

# LiLa2

A PBEsol-optimized structure of LiLa2 (SCAN, Alexandria via LeMat-Bulk).

For the formation energy from the elements, the calculation gives 0.07 eV per atom.

Unit cell a=6.347 b=6.347 c=6.347 alpha=99.96 beta=99.96 gamma=130.85
Positions (direct):
Li1 0.250 0.250 0.000
Li2 0.750 0.750 0.000
La1 0.148 0.648 0.796
La2 0.352 0.148 0.500
La3 0.648 0.852 0.500
La4 0.852 0.352 0.204

# RbEu3F10

A PBEsol-optimized structure of RbEu3F10 (SCAN, Alexandria via LeMat-Bulk).

The raw formation energy is -3.715 eV/atom.

Unit cell a=8.346 b=8.346 c=8.346 alpha=60.00 beta=60.00 gamma=60.00
Positions (direct):
Rb1 0.250 0.250 0.250
Rb2 0.750 0.750 0.750
Eu1 0.239 0.239 0.761
Eu2 0.239 0.761 0.239
Eu3 0.239 0.761 0.761
Eu4 0.761 0.239 0.239
Eu5 0.761 0.239 0.761
Eu6 0.761 0.761 0.239
F1 0.112 0.112 0.112
F2 0.112 0.112 0.665
F3 0.112 0.665 0.112
F4 0.169 0.500 0.500
F5 0.169 0.500 0.831
F6 0.169 0.831 0.500
F7 0.335 0.888 0.888
F8 0.500 0.169 0.500
F9 0.500 0.169 0.831
F10 0.500 0.500 0.169
F11 0.500 0.500 0.831
F12 0.500 0.831 0.169
F13 0.500 0.831 0.500
F14 0.665 0.112 0.112
F15 0.831 0.169 0.500
F16 0.831 0.500 0.169
F17 0.831 0.500 0.500
F18 0.888 0.335 0.888
F19 0.888 0.888 0.335
F20 0.888 0.888 0.888

# DyAlSi

A PBEsol-optimized structure of DyAlSi (SCAN, Alexandria via LeMat-Bulk).

The raw formation energy is -0.647 eV/atom.

Unit cell a=5.457 b=5.457 c=5.650 alpha=90.00 beta=90.00 gamma=137.25
Positions (direct):
Dy1 0.195 0.805 0.750
Dy2 0.805 0.195 0.250
Al1 0.500 0.500 0.000
Al2 0.500 0.500 0.500
Si1 0.100 0.900 0.250
Si2 0.900 0.100 0.750

Number 1: spin magnetization 6.17 μB per formula unit, E -24.4613 eV/atom. Number 2: spin magnetization 1.60 μB per formula unit, E -40.4234 eV/atom. Number 3: spin magnetization 1.00 μB per formula unit, E -15.2537 eV/atom. Number 4: spin magnetization 0.00 μB per formula unit, E -38.0952 eV/atom. Number 5: spin magnetization 0.95 μB per formula unit, E -46.8063 eV/atom. Number 6: spin magnetization 27.74 μB per formula unit, E -20.0642 eV/atom. Number 7: spin magnetization 3.39 μB per formula unit, E -29.6430 eV/atom. Number 8: spin magnetization 0.00 μB per formula unit, E -54.6882 eV/atom. Number 9: spin magnetization 0.00 μB per formula unit, E -16.4473 eV/atom. Number 10: spin magnetization 0.00 μB per formula unit, E -29.5040 eV/atom. Number 11: spin magnetization 2.94 μB per formula unit, E -34.0949 eV/atom. Number 12: spin magnetization 0.00 μB per formula unit, E -31.6840 eV/atom. Number 13: spin magnetization 0.00 μB per formula unit, E -59.5489 eV/atom. Number 14: spin magnetization 0.00 μB per formula unit, E -56.4480 eV/atom. Number 15: spin magnetization 0.00 μB per formula unit, E -12.8968 eV/atom. Number 16: spin magnetization 9.15 μB per formula unit, E -13.3982 eV/atom. Number 17: spin magnetization 0.00 μB per formula unit, E -69.8234 eV/atom. Number 18: spin magnetization 0.00 μB per formula unit, E -32.0246 eV/atom. Number 19: spin magnetization 0.00 μB per formula unit, E -22.2768 eV/atom. Number 20: spin magnetization 0.00 μB per formula unit, E -61.9223 eV/atom. Number 21: spin magnetization 3.93 μB per formula unit, E -40.4387 eV/atom. Number 22: spin magnetization 6.00 μB per formula unit, E -13.8818 eV/atom. Number 23: spin magnetization 0.00 μB per formula unit, E -29.4666 eV/atom. Number 24: spin magnetization 18.00 μB per formula unit, E -19.2342 eV/atom. Number 25: spin magnetization 0.00 μB per formula unit, E -22.5016 eV/atom.